Record 1
{"formula": "AcLa2SmTl2", "functional": "PBE", "state": "optimized geometry", "dft_energy_ev_per_atom": -4.1632, "magmom_total_mub_per_cell": 0.0, "vol_a3_per_cell": 405.6, "lattice_angstrom": [[-3.647, 0.375, 4.097], [1.134, -7.016, 1.653], [7.400, 2.690, 6.342]], "species": ["Ac", "Ac", "Sm", "Sm", "La", "La", "La", "La", "Tl", "Tl", "Tl", "Tl"], "fractional_positions": [[0.000, 0.996, 0.462], [0.000, 0.496, 0.538], [0.500, 0.707, 0.323], [0.500, 0.207, 0.677], [0.500, 0.018, 0.040], [0.500, 0.518, 0.960], [0.000, 0.304, 0.165], [0.000, 0.804, 0.835], [0.000, 0.769, 0.159], [0.500, 0.252, 0.349], [0.500, 0.752, 0.651], [0.000, 0.269, 0.841]]}

Record 2
{"formula": "FePIr2", "functional": "PBE", "state": "optimized geometry", "dft_energy_ev_per_atom": -7.8460, "magmom_total_mub_per_cell": 3.4, "vol_a3_per_cell": 53.7, "lattice_angstrom": [[-1.420, 3.529, 2.285], [-4.031, 0.668, -1.730], [1.619, -3.789, 1.646]], "species": ["P", "Ir", "Ir", "Fe"], "fractional_positions": [[0.250, 0.750, 0.500], [0.500, 0.500, 0.000], [0.000, 0.000, 0.000], [0.750, 0.250, 0.500]]}

Record 3
{"formula": "Ti2SiCl", "functional": "PBE", "state": "optimized geometry", "formation_energy_uncorrected_ev_per_atom": 0.027, "dft_energy_ev_per_atom": -5.7374, "magmom_total_mub_per_cell": 0.0, "vol_a3_per_cell": 174.8, "de_polymorph_mev_per_atom": 332, "lattice_angstrom": [[-2.934, 4.421, 1.548], [-3.508, -3.284, 2.731], [-0.007, 1.052, 6.850]], "species": ["Cl", "Cl", "Ti", "Ti", "Ti", "Ti", "Si", "Si"], "fractional_positions": [[0.000, 0.000, 0.000], [0.750, 0.250, 0.500], [0.626, 0.125, 0.250], [0.124, 0.625, 0.250], [0.375, 0.374, 0.750], [0.875, 0.876, 0.750], [0.500, 0.500, 0.000], [0.250, 0.750, 0.500]]}

Record 4
{"formula": "ScCo2I", "functional": "PBE", "state": "optimized geometry", "formation_energy_uncorrected_ev_per_atom": 0.478, "dft_energy_ev_per_atom": -5.0450, "magmom_total_mub_per_cell": 2.0, "vol_a3_per_cell": 142.9, "de_polymorph_mev_per_atom": 120, "lattice_angstrom": [[-1.195, 3.805, -1.096], [-2.918, -0.072, 2.931], [3.348, 5.138, 6.380]], "species": ["Co", "Co", "Co", "Co", "Sc", "Sc", "I", "I"], "fractional_positions": [[0.875, 0.895, 0.750], [0.375, 0.355, 0.750], [0.105, 0.625, 0.250], [0.645, 0.125, 0.250], [0.500, 0.500, 0.000], [0.250, 0.750, 0.500], [0.750, 0.250, 0.500], [0.000, 0.000, 0.000]]}

Record 5
{"formula": "BaZnCd2", "functional": "PBE", "state": "optimized geometry", "dft_energy_ev_per_atom": -1.3256, "magmom_total_mub_per_cell": 0.0, "vol_a3_per_cell": 278.4, "lattice_angstrom": [[5.482, 0.000, 0.000], [0.000, 5.482, 0.000], [2.741, 2.741, 9.266]], "species": ["Ba", "Ba", "Zn", "Zn", "Cd", "Cd", "Cd", "Cd"], "fractional_positions": [[0.750, 0.250, 0.500], [0.000, 0.000, 0.000], [0.500, 0.500, 0.000], [0.250, 0.750, 0.500], [0.329, 0.625, 0.250], [0.375, 0.579, 0.750], [0.875, 0.671, 0.750], [0.421, 0.125, 0.250]]}

Record 6
{"formula": "Pm2Cu6Ge3", "functional": "PBE", "state": "optimized geometry", "dft_energy_ev_per_atom": -4.6968, "magmom_total_mub_per_cell": 0.0, "vol_a3_per_cell": 190.2, "lattice_angstrom": [[4.053, 0.000, 0.000], [0.000, 7.362, 0.000], [0.000, -3.681, 6.376]], "species": ["Cu", "Cu", "Cu", "Cu", "Cu", "Cu", "Pm", "Pm", "Ge", "Ge", "Ge"], "fractional_positions": [[0.000, 0.000, 0.808], [0.500, 0.287, 0.000], [0.000, 0.808, 0.000], [0.500, 0.000, 0.287], [0.000, 0.192, 0.192], [0.500, 0.713, 0.713], [0.000, 0.333, 0.667], [0.000, 0.667, 0.333], [0.500, 0.373, 0.373], [0.500, 0.000, 0.627], [0.500, 0.627, 0.000]]}

Record 7
{"formula": "CeNdSm2Sb4", "functional": "PBE", "state": "optimized geometry", "formation_energy_uncorrected_ev_per_atom": -1.149, "dft_energy_ev_per_atom": -5.7280, "magmom_total_mub_per_cell": 0.7, "vol_a3_per_cell": 256.1, "lattice_angstrom": [[4.488, 0.000, 0.000], [0.000, 7.778, 0.141], [0.000, -2.713, 7.288]], "species": ["Sm", "Sm", "Ce", "Sb", "Sb", "Sb", "Sb", "Nd"], "fractional_positions": [[0.500, 0.000, 0.500], [0.000, 0.500, 0.500], [0.500, 0.500, 0.000], [0.500, 0.253, 0.252], [0.000, 0.749, 0.251], [0.000, 0.251, 0.749], [0.500, 0.747, 0.748], [0.000, 0.000, 0.000]]}

Record 8
{"formula": "ZrIr2Ru", "functional": "PBE", "state": "optimized geometry", "dft_energy_ev_per_atom": -8.9339, "magmom_total_mub_per_cell": 2.5, "vol_a3_per_cell": 66.0, "de_polymorph_mev_per_atom": 483, "lattice_angstrom": [[0.457, -4.221, -1.596], [-1.903, -3.477, 2.205], [-3.570, -2.144, -1.797]], "species": ["Ir", "Ir", "Ru", "Zr"], "fractional_positions": [[0.250, 0.250, 0.250], [0.750, 0.750, 0.750], [0.500, 0.500, 0.500], [0.000, 0.000, 0.000]]}

- Number 5 is which compound?
  BaZnCd2